# CsZn2Au2, relaxed, DFT PBE
# Total moment   0.00 μB/f.u.
# Energy of formation   -0.13 eV/atom
# ΔE to the lowest computed polymorph   0.072 eV per atom
# VASP energy   -10.6 eV/f.u.
data_CsZn2Au2
_chemical_formula_sum 'Cs1 Zn2 Au2'
_space_group_name_H-M_alt 'P 1'
_space_group_IT_number 1
_cell_length_a 4.8803
_cell_length_b 4.8803
_cell_length_c 6.3266
_cell_angle_alpha 67.31
_cell_angle_beta 67.31
_cell_angle_gamma 90.00
loop_
_space_group_symop_operation_xyz
'x,y,z'
loop_
_atom_site_label
_atom_site_type_symbol
_atom_site_fract_x
_atom_site_fract_y
_atom_site_fract_z
Cs1 Cs 0.0000 0.0000 0.0000
Zn1 Zn 0.3650 0.3650 0.2699
Zn2 Zn 0.6350 0.6350 0.7301
Au1 Au 0.7500 0.2500 0.5000
Au2 Au 0.2500 0.7500 0.5000